[1]
{"formula": "CdReSe2", "functional": "GGA-PBE", "state": "optimized geometry", "lattice": [[2.8131, 0.0000, 0.0000], [0.0000, 3.1177, 0.0000], [0.0000, 0.0000, 9.8587]], "species": ["Cd", "Re", "Se", "Se"], "fractional_positions": [[0.0000, 0.0000, 0.0000], [0.5000, 0.5000, 0.7858], [0.0000, 0.5000, 0.2468], [0.5000, 0.0000, 0.5975]], "final_energy_ev_per_cell": -19.05, "dos_at_fermi_per_ev_cell": 3.9, "total_magnetization_mub_per_cell": 0.0}

***

[2]
{"formula": "ThMnNi4", "functional": "GGA-PBE", "state": "optimized geometry", "lattice": [[1.9313, -7.8213, 0.0000], [1.9313, 7.8213, 0.0000], [0.0000, 0.0000, 5.8821]], "species": ["Th", "Th", "Mn", "Mn", "Ni", "Ni", "Ni", "Ni", "Ni", "Ni", "Ni", "Ni"], "fractional_positions": [[0.1056, 0.8944, 0.7500], [0.8944, 0.1056, 0.2500], [0.2324, 0.7676, 0.2500], [0.7676, 0.2324, 0.7500], [0.0746, 0.9254, 0.2500], [0.3408, 0.6592, 0.5537], [0.3408, 0.6592, 0.9463], [0.5000, 0.5000, 0.0000], [0.5000, 0.5000, 0.5000], [0.6592, 0.3408, 0.0537], [0.6592, 0.3408, 0.4463], [0.9254, 0.0746, 0.7500]], "final_energy_ev_per_cell": -81.56, "dos_at_fermi_per_ev_cell": 7.0, "ef_mev_per_atom": -178, "total_magnetization_mub_per_cell": 7.8}

***

[3]
{"formula": "BiAs3Ir", "functional": "GGA-PBE", "state": "optimized geometry", "lattice": [[4.9077, 0.0000, 0.0000], [0.0000, 4.9077, 0.0000], [0.0000, 0.0000, 4.9077]], "species": ["Bi", "As", "As", "As", "Ir"], "fractional_positions": [[0.0000, 0.0000, 0.0000], [0.0000, 0.5000, 0.5000], [0.5000, 0.0000, 0.5000], [0.5000, 0.5000, 0.0000], [0.5000, 0.5000, 0.5000]], "final_energy_ev_per_cell": -24.31, "dos_at_fermi_per_ev_cell": 4.9, "ef_mev_per_atom": 476, "total_magnetization_mub_per_cell": 0.0}

***

[4]
{"formula": "LiCaMg2Hg4", "functional": "GGA-PBE", "state": "optimized geometry", "lattice": [[2.4607, 1.4207, 8.5563], [-2.4607, 1.4207, 8.5563], [0.0000, -2.8414, 8.5563]], "species": ["Li", "Ca", "Mg", "Mg", "Hg", "Hg", "Hg", "Hg"], "fractional_positions": [[0.0000, 0.0000, 0.0000], [0.5000, 0.5000, 0.5000], [0.2549, 0.2549, 0.2549], [0.7451, 0.7451, 0.7451], [0.1135, 0.1135, 0.1135], [0.3702, 0.3702, 0.3702], [0.6298, 0.6298, 0.6298], [0.8865, 0.8865, 0.8865]], "final_energy_ev_per_cell": -11.15, "dos_at_fermi_per_ev_cell": 3.0, "ef_mev_per_atom": -355, "total_magnetization_mub_per_cell": 0.0}

***

[5]
{"formula": "Th4GaTcTe2", "functional": "GGA-PBE", "state": "optimized geometry", "lattice": [[7.4586, 0.0000, 0.0000], [0.0000, 4.2903, 0.0000], [-2.4418, 0.0000, 7.5516]], "species": ["Th", "Th", "Th", "Th", "Ga", "Tc", "Te", "Te"], "fractional_positions": [[0.2244, 0.0000, 0.2055], [0.2409, 0.5000, 0.7911], [0.7591, 0.5000, 0.2089], [0.7756, 0.0000, 0.7945], [0.5000, 0.0000, 0.0000], [0.0000, 0.5000, 0.0000], [0.0000, 0.0000, 0.5000], [0.5000, 0.5000, 0.5000]], "final_energy_ev_per_cell": -54.87, "dos_at_fermi_per_ev_cell": 5.6, "total_magnetization_mub_per_cell": 0.0}

***

[6]
{"formula": "PrIn6Ni3", "functional": "GGA-PBE", "state": "optimized geometry", "lattice": [[8.2668, 0.0000, 0.0000], [0.0000, 4.3896, 0.0000], [-0.2840, 0.0000, 11.9490]], "species": ["Pr", "Pr", "In", "In", "In", "In", "In", "In", "In", "In", "In", "In", "In", "In", "Ni", "Ni", "Ni", "Ni", "Ni", "Ni"], "fractional_positions": [[0.0163, 0.2500, 0.3003], [0.9837, 0.7500, 0.6997], [0.0553, 0.7500, 0.0859], [0.2184, 0.2500, 0.5555], [0.2872, 0.2500, 0.8007], [0.3793, 0.7500, 0.9781], [0.3952, 0.2500, 0.2214], [0.4025, 0.7500, 0.4068], [0.5975, 0.2500, 0.5932], [0.6048, 0.7500, 0.7786], [0.6207, 0.2500, 0.0219], [0.7128, 0.7500, 0.1993], [0.7816, 0.7500, 0.4445], [0.9447, 0.2500, 0.9141], [0.0984, 0.7500, 0.4732], [0.2334, 0.2500, 0.0336], [0.3507, 0.7500, 0.6464], [0.6493, 0.2500, 0.3536], [0.7666, 0.7500, 0.9664], [0.9016, 0.2500, 0.5268]], "final_energy_ev_per_cell": -80.07, "dos_at_fermi_per_ev_cell": 10.3, "ef_mev_per_atom": -148, "total_magnetization_mub_per_cell": 0.0}

***

[7]
{"formula": "Cu2SbP2", "functional": "GGA-PBE", "state": "optimized geometry", "lattice": [[-1.9204, 1.9204, 5.5363], [1.9204, -1.9204, 5.5363], [1.9204, 1.9204, -5.5363]], "species": ["Cu", "Cu", "Sb", "P", "P"], "fractional_positions": [[0.1133, 0.1133, 0.0000], [0.8867, 0.8867, 0.0000], [0.5000, 0.5000, 0.0000], [0.2500, 0.7500, 0.5000], [0.7500, 0.2500, 0.5000]], "final_energy_ev_per_cell": -21.79, "dos_at_fermi_per_ev_cell": 2.4, "total_magnetization_mub_per_cell": 0.0}

***

[8]
{"formula": "RbPmCu2I6", "functional": "GGA-PBE", "state": "optimized geometry", "lattice": [[7.8900, 0.0000, 0.0000], [-3.9410, 6.8378, 0.0000], [-3.9328, -2.2769, 8.4998]], "species": ["Rb", "Pm", "Cu", "Cu", "I", "I", "I", "I", "I", "I"], "fractional_positions": [[0.0000, 0.0000, 0.0000], [0.0000, 0.5000, 0.5000], [0.4682, 0.2336, 0.7025], [0.5318, 0.7664, 0.2975], [0.1737, 0.2692, 0.7181], [0.1867, 0.4566, 0.2813], [0.4485, 0.9040, 0.7193], [0.5515, 0.0960, 0.2807], [0.8133, 0.5434, 0.7187], [0.8263, 0.7308, 0.2819]], "final_energy_ev_per_cell": -32.05, "dos_at_fermi_per_ev_cell": 0.0, "total_magnetization_mub_per_cell": 0.0}